Entry 1:
# AcBiSe2, relaxed, DFT PBE-GGA
data_AcBiSe2
_cell_length_a 5.7610
_cell_length_b 5.7610
_cell_length_c 5.2104
_cell_angle_alpha 56.44
_cell_angle_beta 56.44
_cell_angle_gamma 60.00
_space_group_name_H-M_alt 'P 1'
_space_group_IT_number 1
loop_
_space_group_symop_operation_xyz
'x,y,z'
loop_
_atom_site_label
_atom_site_type_symbol
_atom_site_fract_x
_atom_site_fract_y
_atom_site_fract_z
_atom_site_occupancy
Ac1 Ac 0.5000 0.5000 0.5000 1
Se1 Se 0.2352 0.2352 0.2943 1
Se2 Se 0.7648 0.7648 0.7057 1
Bi1 Bi 0.0000 0.0000 0.0000 1
# **Calculated volume**: 115 Å³ per cell
# **Fermi-level density of states**: 2.20 states/eV/f.u.
# **Offset from the most stable computed form**: 44 meV/atom

Entry 2:
# Ac5BiSe4, relaxed, DFT PBE-GGA
data_Ac5BiSe4
_cell_length_a 4.5646
_cell_length_b 6.4584
_cell_length_c 12.0131
_cell_angle_alpha 105.53
_cell_angle_beta 100.95
_cell_angle_gamma 90.00
_space_group_name_H-M_alt 'P 1'
_space_group_IT_number 1
loop_
_space_group_symop_operation_xyz
'x,y,z'
loop_
_atom_site_label
_atom_site_type_symbol
_atom_site_fract_x
_atom_site_fract_y
_atom_site_fract_z
_atom_site_occupancy
Ac1 Ac 0.0000 0.5000 0.0000 1
Ac2 Ac 0.6077 0.1076 0.2155 1
Ac3 Ac 0.1992 0.6992 0.3983 1
Ac4 Ac 0.8008 0.3008 0.6017 1
Ac5 Ac 0.3923 0.8924 0.7845 1
Se1 Se 0.6007 0.6006 0.2015 1
Se2 Se 0.2041 0.2042 0.4082 1
Se3 Se 0.7959 0.7958 0.5918 1
Se4 Se 0.3993 0.3994 0.7985 1
Bi1 Bi 0.0000 0.0000 0.0000 1
# **Calculated volume**: 335 Å³ per cell
# **Fermi-level density of states**: 5.32 states/eV/f.u.
# **Energy**: -5.507 eV/atom

Entry 3:
# Ac3BiSe6, relaxed, DFT PBE-GGA
data_Ac3BiSe6
_cell_length_a 7.5693
_cell_length_b 9.6030
_cell_length_c 9.6030
_cell_angle_alpha 102.78
_cell_angle_beta 90.00
_cell_angle_gamma 90.00
_space_group_name_H-M_alt 'P 1'
_space_group_IT_number 1
loop_
_space_group_symop_operation_xyz
'x,y,z'
loop_
_atom_site_label
_atom_site_type_symbol
_atom_site_fract_x
_atom_site_fract_y
_atom_site_fract_z
_atom_site_occupancy
Se1 Se 0.6868 0.6388 0.6870 1
Se2 Se 0.6905 0.5745 0.0953 1
Se3 Se 0.1868 0.6870 0.6388 1
Se4 Se 0.2346 0.0112 0.9888 1
Se5 Se 0.6372 0.2289 0.7711 1
Se6 Se 0.6868 0.3130 0.3612 1
Se7 Se 0.6905 0.9047 0.4255 1
Se8 Se 0.1372 0.7711 0.2289 1
Se9 Se 0.1868 0.3612 0.3130 1
Se10 Se 0.7346 0.9888 0.0112 1
Se11 Se 0.1905 0.0953 0.5745 1
Se12 Se 0.1905 0.4255 0.9047 1
Ac1 Ac 0.8973 0.6003 0.3997 1
Ac2 Ac 0.9782 0.0837 0.2880 1
Ac3 Ac 0.9782 0.7120 0.9163 1
Ac4 Ac 0.4782 0.9163 0.7120 1
Ac5 Ac 0.4782 0.2880 0.0837 1
Ac6 Ac 0.3973 0.3997 0.6003 1
Bi1 Bi 0.0053 0.1743 0.8257 1
Bi2 Bi 0.5053 0.8257 0.1743 1
# **Calculated volume**: 681 Å³ per cell
# **Fermi-level density of states**: 0.00 states/eV/f.u.
# **Offset from the most stable computed form**: 0 meV/atom

Entry 4:
# Ac4BiSe3, relaxed, DFT PBE-GGA
data_Ac4BiSe3
_cell_length_a 4.5751
_cell_length_b 6.4819
_cell_length_c 9.1700
_cell_angle_alpha 90.00
_cell_angle_beta 90.00
_cell_angle_gamma 90.00
_space_group_name_H-M_alt 'P 1'
_space_group_IT_number 1
loop_
_space_group_symop_operation_xyz
'x,y,z'
loop_
_atom_site_label
_atom_site_type_symbol
_atom_site_fract_x
_atom_site_fract_y
_atom_site_fract_z
_atom_site_occupancy
Ac1 Ac 0.0000 0.5000 0.5000 1
Ac2 Ac 0.5000 0.0000 0.2650 1
Ac3 Ac 0.0000 0.5000 0.0000 1
Ac4 Ac 0.5000 0.0000 0.7350 1
Bi1 Bi 0.0000 0.0000 0.0000 1
Se1 Se 0.5000 0.5000 0.2523 1
Se2 Se 0.0000 0.0000 0.5000 1
Se3 Se 0.5000 0.5000 0.7477 1
# **Calculated volume**: 272 Å³ per cell
# **Fermi-level density of states**: 3.60 states/eV/f.u.
# **Energy**: -5.468 eV/atom

Entry 5:
# AcBiSe2, relaxed, DFT PBE-GGA
data_AcBiSe2
_cell_length_a 4.0795
_cell_length_b 5.1844
_cell_length_c 5.1844
_cell_angle_alpha 90.00
_cell_angle_beta 90.00
_cell_angle_gamma 90.00
_space_group_name_H-M_alt 'P 1'
_space_group_IT_number 1
loop_
_space_group_symop_operation_xyz
'x,y,z'
loop_
_atom_site_label
_atom_site_type_symbol
_atom_site_fract_x
_atom_site_fract_y
_atom_site_fract_z
_atom_site_occupancy
Ac1 Ac 0.5000 0.5000 0.5000 1
Bi1 Bi 0.5000 0.0000 0.0000 1
Se1 Se 0.0000 0.5000 0.0000 1
Se2 Se 0.0000 0.0000 0.5000 1
# **Calculated volume**: 110 Å³ per cell
# **Fermi-level density of states**: 0.73 states/eV/f.u.
# **Offset from the most stable computed form**: 0 meV/atom

Entry 6:
# Ac2Bi2Se7, relaxed, DFT PBE-GGA
data_Ac2Bi2Se7
_cell_length_a 7.5501
_cell_length_b 6.2315
_cell_length_c 7.5501
_cell_angle_alpha 89.99
_cell_angle_beta 95.65
_cell_angle_gamma 90.01
_space_group_name_H-M_alt 'P 1'
_space_group_IT_number 1
loop_
_space_group_symop_operation_xyz
'x,y,z'
loop_
_atom_site_label
_atom_site_type_symbol
_atom_site_fract_x
_atom_site_fract_y
_atom_site_fract_z
_atom_site_occupancy
Ac1 Ac 0.2375 0.5000 0.2375 1
Ac2 Ac 0.7625 0.5000 0.7625 1
Se1 Se 0.9997 0.2599 0.5004 1
Se2 Se 0.5004 0.7401 0.9997 1
Se3 Se 0.5003 0.7486 0.4997 1
Se4 Se 0.0003 0.7401 0.4996 1
Se5 Se 0.4997 0.2514 0.5003 1
Se6 Se 0.4996 0.2599 0.0003 1
Se7 Se 0.0000 0.0000 0.0000 1
Bi1 Bi 0.7309 0.0000 0.2691 1
Bi2 Bi 0.2691 0.0000 0.7309 1
# **Calculated volume**: 353 Å³ per cell
# **Fermi-level density of states**: 5.41 states/eV/f.u.
# **Energy**: -4.519 eV/atom

Entry 7:
# Ac2BiSe4, relaxed, DFT PBE-GGA
data_Ac2BiSe4
_cell_length_a 4.7800
_cell_length_b 7.8906
_cell_length_c 8.1089
_cell_angle_alpha 122.01
_cell_angle_beta 107.14
_cell_angle_gamma 90.00
_space_group_name_H-M_alt 'P 1'
_space_group_IT_number 1
loop_
_space_group_symop_operation_xyz
'x,y,z'
loop_
_atom_site_label
_atom_site_type_symbol
_atom_site_fract_x
_atom_site_fract_y
_atom_site_fract_z
_atom_site_occupancy
Se1 Se 0.8834 0.1951 0.7667 1
Se2 Se 0.1166 0.8049 0.2333 1
Se3 Se 0.6392 0.2639 0.2784 1
Se4 Se 0.3608 0.7361 0.7216 1
Ac1 Ac 0.2840 0.2781 0.5680 1
Ac2 Ac 0.7160 0.7219 0.4320 1
Bi1 Bi 0.0000 0.0000 0.0000 1
# **Calculated volume**: 243 Å³ per cell
# **Fermi-level density of states**: 0.98 states/eV/f.u.
# **Energy**: -5.085 eV/atom

Entry 8:
# AcBiSe4, relaxed, DFT PBE-GGA
data_AcBiSe4
_cell_length_a 7.6662
_cell_length_b 7.7416
_cell_length_c 7.8731
_cell_angle_alpha 111.38
_cell_angle_beta 119.13
_cell_angle_gamma 90.00
_space_group_name_H-M_alt 'P 1'
_space_group_IT_number 1
loop_
_space_group_symop_operation_xyz
'x,y,z'
loop_
_atom_site_label
_atom_site_type_symbol
_atom_site_fract_x
_atom_site_fract_y
_atom_site_fract_z
_atom_site_occupancy
Ac1 Ac 0.7966 0.2500 0.0000 1
Ac2 Ac 0.2034 0.7500 0.0000 1
Se1 Se 0.5976 0.5881 0.1972 1
Se2 Se 0.4024 0.4119 0.8028 1
Se3 Se 0.1224 0.6472 0.3081 1
Se4 Se 0.5996 0.0881 0.1972 1
Se5 Se 0.1857 0.1472 0.3081 1
Se6 Se 0.4004 0.9119 0.8028 1
Se7 Se 0.8143 0.8528 0.6919 1
Se8 Se 0.8776 0.3528 0.6919 1
Bi1 Bi 0.0000 0.0000 0.5000 1
Bi2 Bi 0.5000 0.5000 0.5000 1
# **Calculated volume**: 371 Å³ per cell
# **Fermi-level density of states**: 0.46 states/eV/f.u.
# **Energy**: -4.585 eV/atom

Entry 9:
# Ac3BiSe, relaxed, DFT PBE-GGA
data_Ac3BiSe
_cell_length_a 5.8980
_cell_length_b 5.8980
_cell_length_c 5.8980
_cell_angle_alpha 90.00
_cell_angle_beta 90.00
_cell_angle_gamma 90.00
_space_group_name_H-M_alt 'P 1'
_space_group_IT_number 1
loop_
_space_group_symop_operation_xyz
'x,y,z'
loop_
_atom_site_label
_atom_site_type_symbol
_atom_site_fract_x
_atom_site_fract_y
_atom_site_fract_z
_atom_site_occupancy
Bi1 Bi 0.5000 0.5000 0.5000 1
Ac1 Ac 0.0000 0.5000 0.0000 1
Ac2 Ac 0.5000 0.0000 0.0000 1
Ac3 Ac 0.0000 0.0000 0.5000 1
Se1 Se 0.0000 0.0000 0.0000 1
# **Calculated volume**: 205 Å³ per cell
# **Fermi-level density of states**: 6.94 states/eV/f.u.
# **Energy**: -4.602 eV/atom

Entry 10:
# AcBi3Se6, relaxed, DFT PBE-GGA
data_AcBi3Se6
_cell_length_a 4.2707
_cell_length_b 12.4708
_cell_length_c 12.4219
_cell_angle_alpha 109.27
_cell_angle_beta 90.00
_cell_angle_gamma 90.00
_space_group_name_H-M_alt 'P 1'
_space_group_IT_number 1
loop_
_space_group_symop_operation_xyz
'x,y,z'
loop_
_atom_site_label
_atom_site_type_symbol
_atom_site_fract_x
_atom_site_fract_y
_atom_site_fract_z
_atom_site_occupancy
Ac1 Ac 0.7500 0.0427 0.6956 1
Ac2 Ac 0.2500 0.9573 0.3044 1
Se1 Se 0.7500 0.9264 0.1000 1
Se2 Se 0.2500 0.8883 0.5307 1
Se3 Se 0.2500 0.5328 0.3820 1
Se4 Se 0.2500 0.0736 0.9000 1
Se5 Se 0.7500 0.1117 0.4693 1
Se6 Se 0.2500 0.2006 0.2592 1
Se7 Se 0.7500 0.4672 0.6180 1
Se8 Se 0.2500 0.6032 0.9285 1
Se9 Se 0.7500 0.3968 0.0715 1
Se10 Se 0.7500 0.7475 0.2615 1
Se11 Se 0.2500 0.2525 0.7385 1
Se12 Se 0.7500 0.7994 0.7408 1
Bi1 Bi 0.7500 0.6962 0.4648 1
Bi2 Bi 0.2500 0.5544 0.1599 1
Bi3 Bi 0.2500 0.8468 0.8981 1
Bi4 Bi 0.2500 0.3038 0.5352 1
Bi5 Bi 0.7500 0.1532 0.1019 1
Bi6 Bi 0.7500 0.4456 0.8401 1
# **Calculated volume**: 625 Å³ per cell
# **Energy**: -4.471 eV/atom

Entry 11:
# Ac4SiBiSe2, relaxed, DFT PBE-GGA
data_Ac4SiBiSe2
_cell_length_a 4.6321
_cell_length_b 7.9162
_cell_length_c 8.0960
_cell_angle_alpha 70.34
_cell_angle_beta 90.00
_cell_angle_gamma 90.00
_space_group_name_H-M_alt 'P 1'
_space_group_IT_number 1
loop_
_space_group_symop_operation_xyz
'x,y,z'
loop_
_atom_site_label
_atom_site_type_symbol
_atom_site_fract_x
_atom_site_fract_y
_atom_site_fract_z
_atom_site_occupancy
Ac1 Ac 0.0000 0.2488 0.2652 1
Ac2 Ac 0.0000 0.7512 0.7348 1
Ac3 Ac 0.5000 0.2563 0.7360 1
Ac4 Ac 0.5000 0.7437 0.2640 1
Se1 Se 0.5000 0.0000 0.5000 1
Se2 Se 0.0000 0.0000 0.0000 1
Si1 Si 0.0000 0.5000 0.5000 1
Bi1 Bi 0.5000 0.5000 0.0000 1
# **Calculated volume**: 280 Å³ per cell
# **Fermi-level density of states**: 2.06 states/eV/f.u.
# **Energy**: -5.434 eV/atom

Entry 12:
# Ac6Sn2BiSe3, relaxed, DFT PBE-GGA
data_Ac6Sn2BiSe3
_cell_length_a 4.7244
_cell_length_b 9.2873
_cell_length_c 10.4090
_cell_angle_alpha 101.39
_cell_angle_beta 103.12
_cell_angle_gamma 90.00
_space_group_name_H-M_alt 'P 1'
_space_group_IT_number 1
loop_
_space_group_symop_operation_xyz
'x,y,z'
loop_
_atom_site_label
_atom_site_type_symbol
_atom_site_fract_x
_atom_site_fract_y
_atom_site_fract_z
_atom_site_occupancy
Ac1 Ac 0.3334 0.4151 0.6667 1
Ac2 Ac 0.6700 0.0849 0.3401 1
Ac3 Ac 0.3300 0.9151 0.6599 1
Ac4 Ac 0.6666 0.5849 0.3333 1
Ac5 Ac 0.0000 0.2587 0.0000 1
Ac6 Ac 0.0000 0.7413 0.0000 1
Se1 Se 0.1654 0.8341 0.3308 1
Se2 Se 0.5000 0.5000 0.0000 1
Se3 Se 0.8346 0.1659 0.6692 1
Sn1 Sn 0.8340 0.6675 0.6680 1
Sn2 Sn 0.1660 0.3325 0.3320 1
Bi1 Bi 0.5000 0.0000 0.0000 1
# **Calculated volume**: 436 Å³ per cell
# **Fermi-level density of states**: 3.05 states/eV/f.u.
# **Energy**: -5.251 eV/atom

| no. | magnetic moment (μB per cell) |
| --- | --- |
| 1 | 0.0 |
| 2 | 0.0 |
| 3 | 0.0 |
| 4 | 0.0 |
| 5 | 0.0 |
| 6 | 0.0 |
| 7 | 0.0 |
| 8 | 0.0 |
| 9 | 0.0 |
| 10 | 0.0 |
| 11 | 0.0 |
| 12 | 0.0 |